(1)
Here is MnCdW2 after structural relaxation from Alexandria. Energies are from PBE.

a b c (Å): 5.1444 5.1444 5.1444
angles (deg): 142.43 127.29 66.52
Element x y z (fractional)
W  0.0037  0.0037  0.0000
Cd  0.4925  0.4925  0.0000
Mn  0.2363  0.7363  0.5000
W  0.7675  0.2675  0.5000

The total DFT energy (no corrections) is -33.68 eV/cell. The size of the total moment is 2.54 μB/cell. For the density of states at the Fermi level, the calculation gives 3.93 states/eV/cell. The symmetry is No. 44.

(2)
Here is PrSm5Dy2 after structural relaxation from Alexandria. Energies are from PBE.

a b c (Å): 5.1025 7.2392 14.4800
angles (deg): 90.00 90.00 90.00
Element x y z (fractional)
Sm  0.0000  0.5011  0.2507
Sm  0.0000  0.0011  0.2493
Sm  0.0000  0.5000  0.5000
Pr  0.0000  0.0000  0.5000
Sm  0.0000  0.0000  0.0000
Pr  0.0000  0.5000  0.0000
Dy  0.5000  0.2503  0.1254
Sm  0.0000  0.4989  0.7493
Sm  0.0000  0.9989  0.7507
Sm  0.5000  0.2513  0.3742
Sm  0.5000  0.2487  0.8742
Sm  0.5000  0.7487  0.6258
Dy  0.5000  0.2497  0.6254
Sm  0.5000  0.7513  0.1258
Dy  0.5000  0.7497  0.8746
Dy  0.5000  0.7503  0.3746

The total DFT energy (no corrections) is -74.91 eV/cell. The size of the total moment is 0.00 μB/cell. For the density of states at the Fermi level, the calculation gives 22.86 states/eV/cell. The symmetry is No. 55. As for the energy relative to the lowest polymorph listed for this composition: 0 meV/atom.

(3)
Here is KTbInSe3 after structural relaxation from Alexandria. Energies are from PBE.

a b c (Å): 4.1045 8.6409 11.3233
angles (deg): 106.99 90.00 90.00
Element x y z (fractional)
Se  0.7500  0.4088  0.1146
Se  0.7500  0.3442  0.5875
Se  0.2500  0.6558  0.4125
Se  0.2500  0.1004  0.8043
Se  0.2500  0.5912  0.8854
K  0.2500  0.2323  0.2661
K  0.7500  0.7677  0.7339
Se  0.7500  0.8996  0.1957
Tb  0.2500  0.6477  0.1455
In  0.2500  0.1337  0.5783
In  0.7500  0.8663  0.4217
Tb  0.7500  0.3523  0.8545

The total DFT energy (no corrections) is -53.06 eV/cell. The calculation puts the raw formation energy at -1268 meV per atom. The size of the total moment is 0.00 μB/cell. For the density of states at the Fermi level, the calculation gives 4.03 states/eV/cell. The symmetry is No. 11.

(4)
Here is Te2PbCl after structural relaxation from Alexandria. Energies are from PBE.

a b c (Å): 4.3525 4.3525 6.7785
angles (deg): 90.00 90.00 90.00
Element x y z (fractional)
Pb  0.5000  0.5000  0.7500
Te  0.0000  0.0000  0.5449
Cl  0.5000  0.5000  0.2500
Te  0.0000  0.0000  0.9551

The total DFT energy (no corrections) is -12.49 eV/cell. The calculation puts the raw formation energy at -164 meV per atom. The size of the total moment is 0.00 μB/cell. For the density of states at the Fermi level, the calculation gives 3.79 states/eV/cell. The symmetry is No. 123. As for the energy relative to the lowest polymorph listed for this composition: 233 meV/atom.

(5)
Here is MoRu2 after structural relaxation from Alexandria. Energies are from PBE.

a b c (Å): 4.3305 4.3305 5.4395
angles (deg): 90.00 90.00 60.00
Element x y z (fractional)
Ru  0.0000  0.0000  0.0000
Ru  0.6667  0.6667  0.7500
Mo  0.6667  0.6667  0.2500
Ru  0.0000  0.0000  0.5000
Ru  0.3333  0.3333  0.2500
Mo  0.3333  0.3333  0.7500

The total DFT energy (no corrections) is -58.52 eV/cell. The size of the total moment is 0.00 μB/cell. For the density of states at the Fermi level, the calculation gives 4.55 states/eV/cell. The symmetry is No. 194.

(6)
Here is Sm6Dy4Mg after structural relaxation from Alexandria. Energies are from PBE.

a b c (Å): 8.1918 8.1918 8.1918
angles (deg): 127.31 101.36 101.36
Element x y z (fractional)
Mg  0.0000  0.0000  0.0000
Dy  0.0000  0.7671  0.5418
Sm  0.5000  0.5000  0.0000
Sm  0.5000  0.0000  0.5000
Sm  0.6242  0.6085  0.6085
Dy  0.7747  0.2329  0.2329
Sm  0.0000  0.0157  0.3915
Dy  0.0000  0.5418  0.7671
Dy  0.2253  0.4582  0.4582
Sm  0.0000  0.3915  0.0157
Sm  0.3758  0.9843  0.9843

The total DFT energy (no corrections) is -43.22 eV/cell. The size of the total moment is 0.55 μB/cell. For the density of states at the Fermi level, the calculation gives 17.07 states/eV/cell. The symmetry is No. 121.